<A>
An optimized crystal structure of La5Nd4Sm. Source: Alexandria, functional PBE.

* magnetization: 0.0 Bohr magnetons per cell
* space group: C2/m

abc: 3.6582 11.3278 14.5845
angles: 141.23 97.20 90.00
With the nearest neighbours (Å) after each atom.
Positions (direct):
La1 0.1740 0.7892 0.3480  1 Nd 3.39, 6 La 3.53-3.67
La2 0.8260 0.5961 0.6520  1 Nd 3.41, 4 La 3.52-3.66, 2 Sm 3.66
La3 0.8260 0.2108 0.6520  1 Nd 3.39, 6 La 3.53-3.67
La4 0.5000 0.5000 0.0000  4 Nd 3.42, 6 La 3.66-3.67
La5 0.1740 0.4039 0.3480  1 Nd 3.41, 4 La 3.52-3.66, 2 Sm 3.66
Nd1 0.3497 0.9504 0.6994  4 Nd 3.66-3.68, 7 La 3.82-3.96, 1 Sm 3.92
Nd2 0.0282 0.3050 0.0564  4 La 3.39-3.42, 2 Sm 3.39, 4 Nd 3.66-3.68
Nd3 0.6503 0.0496 0.3006  4 Nd 3.66-3.68, 7 La 3.82-3.96, 1 Sm 3.92
Nd4 0.9718 0.6950 0.9436  4 La 3.39-3.42, 2 Sm 3.39, 4 Nd 3.66-3.68
Sm1 0.5000 0.0000 0.0000  4 Nd 3.39, 2 Sm 3.66, 4 La 3.66

<B>
An optimized crystal structure of La5Nd4Sm. Source: Alexandria, functional PBE.

* magnetization: 0.0 Bohr magnetons per cell
* space group: Pmmn

abc: 11.7587 6.9643 9.2505
angles: 90.00 90.00 90.00
With the nearest neighbours (Å) after each atom.
Positions (direct):
La1 0.7195 0.2456 0.6818  4 La 3.36-3.54, 3 Nd 3.50-3.66, 1 Sm 3.59
La2 0.7195 0.2456 0.3182  4 La 3.36-3.54, 3 Nd 3.50-3.66, 1 Sm 3.59
La3 0.2805 0.7456 0.1818  4 La 3.36-3.54, 3 Nd 3.50-3.66, 1 Sm 3.59
La4 0.2805 0.2544 0.1818  4 La 3.36-3.54, 3 Nd 3.50-3.66, 1 Sm 3.59
La5 0.2805 0.2544 0.8182  4 La 3.36-3.54, 3 Nd 3.50-3.66, 1 Sm 3.59
La6 0.7870 0.5000 0.0000  4 Nd 3.19-3.39, 2 Sm 3.50, 4 La 3.53
La7 0.7195 0.7544 0.6818  4 La 3.36-3.54, 3 Nd 3.50-3.66, 1 Sm 3.59
La8 0.2805 0.7456 0.8182  4 La 3.36-3.54, 3 Nd 3.50-3.66, 1 Sm 3.59
La9 0.7195 0.7544 0.3182  4 La 3.36-3.54, 3 Nd 3.50-3.66, 1 Sm 3.59
La10 0.2130 0.0000 0.5000  4 Nd 3.19-3.39, 2 Sm 3.50, 4 La 3.53
Nd1 0.4586 0.7458 0.5000  5 La 3.39-3.61, 2 Nd 3.42-3.54, 1 Sm 3.66
Nd2 0.5414 0.7542 0.0000  5 La 3.39-3.61, 2 Nd 3.42-3.54, 1 Sm 3.66
Nd3 0.0059 0.5000 0.7957  1 La 3.19, 1 Sm 3.44
Nd4 0.9941 0.0000 0.2957  1 La 3.19, 1 Sm 3.44
Nd5 0.4586 0.2542 0.5000  5 La 3.39-3.61, 2 Nd 3.42-3.54, 1 Sm 3.66
Nd6 0.5414 0.2458 0.0000  5 La 3.39-3.61, 2 Nd 3.42-3.54, 1 Sm 3.66
Nd7 0.9941 0.0000 0.7043  1 La 3.19, 1 Sm 3.44
Nd8 0.0059 0.5000 0.2043  1 La 3.19, 1 Sm 3.44
Sm1 0.1839 0.5000 0.5000  4 Nd 3.44-3.66, 6 La 3.50-3.59
Sm2 0.8161 0.0000 0.0000  4 Nd 3.44-3.66, 6 La 3.50-3.59

Computed stability ranking, most favorable first: <A>, <B>

<A>
An optimized crystal structure of La2Nd5Sm2. Source: Alexandria, functional PBE.

* magnetization: 0.0 Bohr magnetons per cell
* space group: Ima2

abc: 12.1489 6.9478 10.3399
angles: 109.63 125.98 90.00
With the nearest neighbours (Å) after each atom.
Positions (direct):
Nd1 0.1944 0.1545 0.8929  4 Nd 3.23-3.47, 1 Sm 3.36, 1 La 3.45
Nd2 0.3762 0.0240 0.2862  4 Nd 3.23-3.50, 2 La 3.44-3.58, 1 Sm 3.53
Nd3 0.0122 0.6628 0.5000  6 Nd 3.31-3.63, 2 Sm 3.50-3.69, 2 La 3.64
Nd4 0.8015 0.7616 0.1071  4 Nd 3.23-3.47, 1 Sm 3.36, 1 La 3.45
Nd5 0.4100 0.5240 0.2862  4 Nd 3.23-3.50, 2 La 3.44-3.58, 1 Sm 3.53
Nd6 0.1985 0.6545 0.8929  4 Nd 3.23-3.47, 1 Sm 3.36, 1 La 3.45
Nd7 0.6238 0.7378 0.7138  4 Nd 3.23-3.50, 2 La 3.44-3.58, 1 Sm 3.53
Nd8 0.5900 0.2378 0.7138  4 Nd 3.23-3.50, 2 La 3.44-3.58, 1 Sm 3.53
Nd9 0.9878 0.1628 0.5000  6 Nd 3.31-3.63, 2 Sm 3.50-3.69, 2 La 3.64
Nd10 0.8056 0.2616 0.1071  4 Nd 3.23-3.47, 1 Sm 3.36, 1 La 3.45
Sm1 0.2562 0.3455 0.5000  4 Nd 3.50-3.69, 2 La 3.75, 2 Sm 3.84
Sm2 0.7438 0.8455 0.5000  4 Nd 3.50-3.69, 2 La 3.75, 2 Sm 3.84
Sm3 0.0000 0.0277 0.0000  4 Nd 3.36-3.72, 2 La 3.77
Sm4 0.5000 0.5277 0.0000  4 Nd 3.36-3.72, 2 La 3.77
La1 0.1294 0.6868 0.2515  4 Nd 3.44-3.64, 2 Sm 3.75-3.77, 2 La 3.78-3.83
La2 0.3779 0.9353 0.7485  4 Nd 3.44-3.64, 2 Sm 3.75-3.77, 2 La 3.78-3.83
La3 0.8706 0.4353 0.7485  4 Nd 3.44-3.64, 2 Sm 3.75-3.77, 2 La 3.78-3.83
La4 0.6221 0.1868 0.2515  4 Nd 3.44-3.64, 2 Sm 3.75-3.77, 2 La 3.78-3.83

<B>
An optimized crystal structure of La2Nd5Sm2. Source: Alexandria, functional PBE.

* magnetization: 0.0 Bohr magnetons per cell
* space group: C2/m

abc: 5.2226 8.2287 8.2376
angles: 107.51 108.48 90.00
With the nearest neighbours (Å) after each atom.
Positions (direct):
La1 0.3338 0.9998 0.6676  7 Nd 3.68-3.69, 3 Sm 3.70, 2 La 3.70
La2 0.6662 0.0002 0.3324  7 Nd 3.68-3.69, 3 Sm 3.70, 2 La 3.70
Nd1 0.1113 0.6653 0.2227  3 Sm 3.66-3.68, 6 Nd 3.67-3.70, 3 La 3.69
Nd2 0.4436 0.6643 0.8871  3 Sm 3.65-3.68, 7 Nd 3.67-3.70, 2 La 3.68-3.69
Nd3 0.5564 0.3357 0.1129  3 Sm 3.65-3.68, 7 Nd 3.67-3.70, 2 La 3.68-3.69
Nd4 0.0000 0.0000 0.0000  4 La 3.68, 2 Sm 3.69, 6 Nd 3.69-3.70
Nd5 0.8887 0.3347 0.7773  3 Sm 3.66-3.68, 6 Nd 3.67-3.70, 3 La 3.69
Sm1 0.7775 0.6642 0.5549  7 Nd 3.65-3.69, 2 Sm 3.66, 3 La 3.70
Sm2 0.2225 0.3358 0.4451  7 Nd 3.65-3.69, 2 Sm 3.66, 3 La 3.70

Computed stability ranking, most favorable first: <B>, <A>

<A>
An optimized crystal structure of La4NdSm7. Source: Alexandria, functional PBE.

* magnetization: 0.0 Bohr magnetons per cell
* space group: C2/m

abc: 6.1085 12.0121 6.8493
angles: 83.82 63.52 75.27
With the nearest neighbours (Å) after each atom.
Positions (direct):
La1 0.3640 0.7771 0.4949  7 Sm 3.48-3.76, 2 La 3.75
La2 0.7717 0.6702 0.7864  5 Sm 3.37-3.71, 2 La 3.75
La3 0.6360 0.2229 0.5051  7 Sm 3.48-3.76, 2 La 3.75
La4 0.2283 0.3298 0.2136  5 Sm 3.37-3.71, 2 La 3.75
Sm1 0.9325 0.3170 0.8180  4 Sm 3.33-3.72, 1 La 3.71
Sm2 0.2110 0.0770 0.5010  1 Nd 3.19, 4 Sm 3.19-3.54, 4 La 3.43-3.49
Sm3 0.6321 0.5027 0.2331  2 Sm 3.27-3.33, 5 La 3.37-3.66
Sm4 0.3679 0.4973 0.7669  2 Sm 3.27-3.33, 5 La 3.37-3.66
Sm5 0.5000 0.0000 0.0000  2 Nd 3.05, 2 Sm 3.19
Sm6 0.7890 0.9230 0.4990  1 Nd 3.19, 4 Sm 3.19-3.54, 4 La 3.43-3.49
Sm7 0.0675 0.6830 0.1820  4 Sm 3.33-3.72, 1 La 3.71
Nd1 0.0000 0.0000 0.0000  4 Sm 3.05-3.19

<B>
An optimized crystal structure of La4NdSm7. Source: Alexandria, functional PBE.

* magnetization: 0.0 Bohr magnetons per cell
* space group: P-3m1

abc: 3.6723 3.6723 36.0026
angles: 90.00 90.00 120.00
With the nearest neighbours (Å) after each atom.
Positions (direct):
Sm1 0.3333 0.6667 0.4174  3 Nd 3.65, 6 Sm 3.67, 3 La 3.70
Sm2 0.0000 0.0000 0.7509  9 Sm 3.62-3.67, 3 La 3.70
Sm3 0.6667 0.3333 0.8323  9 Sm 3.62-3.67, 3 La 3.69
Sm4 0.3333 0.6667 0.1677  9 Sm 3.62-3.67, 3 La 3.69
Sm5 0.6667 0.3333 0.5826  3 Nd 3.65, 6 Sm 3.67, 3 La 3.70
Sm6 0.0000 0.0000 0.2491  9 Sm 3.62-3.67, 3 La 3.70
Sm7 0.0000 0.0000 0.0000  6 Sm 3.67, 6 La 3.68
La1 0.3333 0.6667 0.6667  6 La 3.67, 6 Sm 3.70
La2 0.6667 0.3333 0.3333  6 La 3.67, 6 Sm 3.70
La3 0.3333 0.6667 0.9164  6 La 3.67, 6 Sm 3.68-3.69
La4 0.6667 0.3333 0.0836  6 La 3.67, 6 Sm 3.68-3.69
Nd1 0.0000 0.0000 0.5000  6 Sm 3.65, 6 Nd 3.67

Computed stability ranking, most favorable first: <B>, <A>

<A>
An optimized crystal structure of La2Nd12Sm5. Source: Alexandria, functional PBE.

* magnetization: 0.0 Bohr magnetons per cell
* space group: C2/m

abc: 11.8847 10.9103 6.3188
angles: 100.81 90.00 123.00
With the nearest neighbours (Å) after each atom.
Positions (direct):
Nd1 0.5561 0.1122 0.2766  6 Nd 3.62-4.01, 2 La 3.76, 2 Sm 3.80-3.83
Nd2 0.8763 0.7525 0.0075  4 Sm 3.41-3.57, 2 La 3.50, 4 Nd 3.50-3.80
Nd3 0.9435 0.4009 0.2044  6 Nd 3.46-3.77, 4 Sm 3.50-3.87, 1 La 3.63
Nd4 0.0565 0.5991 0.7956  6 Nd 3.46-3.77, 4 Sm 3.50-3.87, 1 La 3.63
Nd5 0.3556 0.2058 0.6149  1 La 3.41, 3 Sm 3.44-3.70, 6 Nd 3.46-3.80
Nd6 0.1498 0.7942 0.3851  1 La 3.41, 3 Sm 3.44-3.70, 6 Nd 3.46-3.80
Nd7 0.1237 0.2475 0.9925  4 Sm 3.41-3.57, 2 La 3.50, 4 Nd 3.50-3.80
Nd8 0.4439 0.8878 0.7234  6 Nd 3.62-4.01, 2 La 3.76, 2 Sm 3.80-3.83
Nd9 0.8502 0.2058 0.6149  1 La 3.41, 3 Sm 3.44-3.70, 6 Nd 3.46-3.80
Nd10 0.5426 0.5991 0.7956  6 Nd 3.46-3.77, 4 Sm 3.50-3.87, 1 La 3.63
Nd11 0.6444 0.7942 0.3851  1 La 3.41, 3 Sm 3.44-3.70, 6 Nd 3.46-3.80
Nd12 0.4574 0.4009 0.2044  6 Nd 3.46-3.77, 4 Sm 3.50-3.87, 1 La 3.63
Sm1 0.3239 0.6478 0.1424  7 Nd 3.44-3.83, 1 Sm 3.60
Sm2 0.2129 0.4258 0.5453  8 Nd 3.50-3.71, 3 Sm 3.60-3.86
Sm3 0.0000 0.0000 0.5000  6 Nd 3.41-3.53
Sm4 0.7871 0.5742 0.4547  8 Nd 3.50-3.71, 3 Sm 3.60-3.86
Sm5 0.6761 0.3522 0.8576  7 Nd 3.44-3.83, 1 Sm 3.60
La1 0.7765 0.0000 0.0000  8 Nd 3.41-3.76
La2 0.2235 0.0000 0.0000  8 Nd 3.41-3.76

<B>
An optimized crystal structure of La2Nd12Sm5. Source: Alexandria, functional PBE.

* magnetization: 0.0 Bohr magnetons per cell
* space group: C2/m

abc: 7.5534 10.8558 8.9670
angles: 80.66 90.00 110.36
With the nearest neighbours (Å) after each atom.
Positions (direct):
Nd1 0.4003 0.3389 0.2439  4 Nd 3.30-3.56, 3 Sm 3.52-3.65
Nd2 0.6362 0.7812 0.3597  4 Sm 3.35-3.53, 4 Nd 3.50-3.71, 1 La 3.59
Nd3 0.4595 0.9191 0.6734  5 Nd 3.26-3.54
Nd4 0.8551 0.2188 0.6403  4 Sm 3.35-3.53, 4 Nd 3.50-3.71, 1 La 3.59
Nd5 0.1449 0.7812 0.3597  4 Sm 3.35-3.53, 4 Nd 3.50-3.71, 1 La 3.59
Nd6 0.5405 0.0809 0.3266  5 Nd 3.26-3.54
Nd7 0.5997 0.6611 0.7561  4 Nd 3.30-3.56, 3 Sm 3.52-3.65
Nd8 0.3638 0.2188 0.6403  4 Sm 3.35-3.53, 4 Nd 3.50-3.71, 1 La 3.59
Nd9 0.1803 0.3605 0.8983  6 Nd 3.50-3.71, 4 Sm 3.64-3.78
Nd10 0.0614 0.6611 0.7561  4 Nd 3.30-3.56, 3 Sm 3.52-3.65
Nd11 0.9386 0.3389 0.2439  4 Nd 3.30-3.56, 3 Sm 3.52-3.65
Nd12 0.8197 0.6395 0.1017  6 Nd 3.50-3.71, 4 Sm 3.64-3.78
Sm1 0.2520 0.5041 0.4976  9 Nd 3.42-3.65, 3 Sm 3.77-3.78
Sm2 0.6705 0.3410 0.9164  9 Nd 3.49-3.78, 1 Sm 3.77
Sm3 0.7480 0.4959 0.5024  9 Nd 3.42-3.65, 3 Sm 3.77-3.78
Sm4 0.0000 0.0000 0.5000  4 Nd 3.35
Sm5 0.3295 0.6590 0.0836  9 Nd 3.49-3.78, 1 Sm 3.77
La1 0.7607 0.0000 0.0000  4 Nd 3.59-3.74, 2 La 3.62-3.94, 2 Sm 3.95
La2 0.2393 0.0000 0.0000  4 Nd 3.59-3.74, 2 La 3.62-3.94, 2 Sm 3.95

Computed stability ranking, most favorable first: <A>, <B>